## P
## TaAlTc3 (PBE)

Data for TaAlTc3 after structural relaxation.

Lattice parameters (Å, degrees): 4.4011 4.4011 4.4011 90.00 90.00 90.00
Last column: nearest neighbours and their distance in Å.
Element x y z (fractional)
Ta  0.0000  0.0000  0.0000  12 Tc 3.11
Al  0.5000  0.5000  0.5000  6 Tc 2.20
Tc  0.0000  0.5000  0.5000  2 Al 2.20
Tc  0.5000  0.0000  0.5000  2 Al 2.20
Tc  0.5000  0.5000  0.0000  2 Al 2.20

Output
- magnetization (μB/atom) = 0.0003


## Q
## TaAlTc3 (PBE)

Data for TaAlTc3 after structural relaxation.

Lattice parameters (Å, degrees): 4.7239 4.7239 4.7239 90.00 90.00 90.00
Last column: nearest neighbours and their distance in Å.
Element x y z (fractional)
Ta  0.0000  0.0000  0.0000  6 Tc 2.36
Al  0.5000  0.5000  0.5000  12 Tc 3.34
Tc  0.0000  0.0000  0.5000  2 Ta 2.36
Tc  0.0000  0.5000  0.0000  2 Ta 2.36
Tc  0.5000  0.0000  0.0000  2 Ta 2.36

Output
- magnetization (μB/atom) = 0.5254


Computed relative energies in units of eV/atom: P 0.000; Q 0.592


## P
## Ta3AlTc (PBE)

Data for Ta3AlTc after structural relaxation.

Lattice parameters (Å, degrees): 4.7849 4.7849 4.7849 90.00 90.00 90.00
Last column: nearest neighbours and their distance in Å.
Element x y z (fractional)
Ta  0.0000  0.0000  0.5000  2 Tc 2.39
Ta  0.0000  0.5000  0.0000  2 Tc 2.39
Ta  0.5000  0.0000  0.0000  2 Tc 2.39
Al  0.5000  0.5000  0.5000  12 Ta 3.38
Tc  0.0000  0.0000  0.0000  6 Ta 2.39

Output
- magnetization (μB/atom) = 0.0000


## Q
## Ta3AlTc (PBE)

Data for Ta3AlTc after structural relaxation.

Lattice parameters (Å, degrees): 4.6240 4.6240 4.6240 90.00 90.00 90.00
Last column: nearest neighbours and their distance in Å.
Element x y z (fractional)
Ta  0.0000  0.0000  0.5000  2 Al 2.31
Ta  0.0000  0.5000  0.0000  2 Al 2.31
Ta  0.5000  0.0000  0.0000  2 Al 2.31
Al  0.0000  0.0000  0.0000  6 Ta 2.31
Tc  0.5000  0.5000  0.5000  12 Ta 3.27

Output
- magnetization (μB/atom) = 0.0001


Computed relative energies in units of eV/atom: P 0.000; Q 0.423


## P
## Ta2Al2Tc (PBE)

Data for Ta2Al2Tc after structural relaxation.

Lattice parameters (Å, degrees): 6.6717 6.6717 3.6413 90.00 90.00 90.00
Last column: nearest neighbours and their distance in Å.
Element x y z (fractional)
Ta  0.1675  0.3325  0.0000  6 Al 2.62-2.72
Ta  0.3325  0.8325  0.0000  6 Al 2.62-2.72
Ta  0.6675  0.1675  0.0000  6 Al 2.62-2.72
Ta  0.8325  0.6675  0.0000  6 Al 2.62-2.72
Al  0.1332  0.6332  0.5000  1 Al 2.51, 2 Tc 2.60, 6 Ta 2.62-2.72
Al  0.3668  0.1332  0.5000  1 Al 2.51, 2 Tc 2.60, 6 Ta 2.62-2.72
Al  0.6332  0.8668  0.5000  1 Al 2.51, 2 Tc 2.60, 6 Ta 2.62-2.72
Al  0.8668  0.3668  0.5000  1 Al 2.51, 2 Tc 2.60, 6 Ta 2.62-2.72
Tc  0.0000  0.0000  0.5000  4 Al 2.60
Tc  0.5000  0.5000  0.5000  4 Al 2.60

Output
- magnetization (μB/atom) = 0.0000


## Q
## Ta2Al2Tc (PBE)

Data for Ta2Al2Tc after structural relaxation.

Lattice parameters (Å, degrees): 6.8219 6.8219 6.8219 148.02 148.02 45.85
Last column: nearest neighbours and their distance in Å.
Element x y z (fractional)
Ta  0.2500  0.7500  0.5000  4 Ta 2.66, 4 Al 2.72
Ta  0.7500  0.2500  0.5000  4 Ta 2.66, 4 Al 2.72
Al  0.0931  0.0931  0.0000  1 Al 2.34
Al  0.9069  0.9069  0.0000  1 Al 2.34
Tc  0.5000  0.5000  0.0000  8 Al 2.90

Output
- magnetization (μB/atom) = 0.1455


Computed relative energies in units of eV/atom: P 0.000; Q 0.564